[1]
First-principles (PBE-GGA) data for a geometry-optimized CaCdBSe2 structure, as listed in Alexandria via LeMat-Bulk.

a = 5.471 Å, b = 4.916 Å, c = 5.471 Å
α = 90.00°, β = 90.00°, γ = 90.00°
Site moments in Bohr magnetons follow the coordinates.
Atoms (fractional coordinates):
Se1 0.000 0.000 0.500  0.00
Se2 0.500 0.000 0.000  0.00
B1 0.000 0.500 0.000  0.33
Cd1 0.500 0.500 0.500  0.01
Ca1 0.000 0.000 0.000  0.11

Calculated values
The density of states at the Fermi level is 3.15 states/eV per cell. The magnetic moment is 0.85 μB per formula unit. Its space group is No. 123. For the energy relative to the elements, uncorrected, the calculation gives 0.72 eV per atom.

---

[2]
First-principles (PBE-GGA) data for a geometry-optimized AcTm2Rh structure, as listed in Alexandria via LeMat-Bulk.

a = 4.012 Å, b = 4.012 Å, c = 9.336 Å
α = 77.59°, β = 77.59°, γ = 60.00°
Atoms (fractional coordinates):
Rh1 0.666 0.666 0.001
Ac1 0.502 0.502 0.495
Tm1 0.280 0.280 0.160
Tm2 0.052 0.052 0.844

Calculated values
The density of states at the Fermi level is 4.04 states/eV per cell. The magnetic moment is 0.00 μB per formula unit. The formation energy comes out at -157.5 kJ/mol of formula units. Its space group is No. 160.

---

[3]
First-principles (PBE-GGA) data for a geometry-optimized NdDy3Tm2Bi6 structure, as listed in Alexandria via LeMat-Bulk.

a = 4.485 Å, b = 8.970 Å, c = 10.026 Å
α = 102.90°, β = 102.93°, γ = 90.00°
Atoms (fractional coordinates):
Tm1 0.833 0.667 0.665
Tm2 0.167 0.333 0.335
Dy1 0.835 0.168 0.670
Dy2 0.165 0.832 0.330
Dy3 0.500 0.500 0.000
Bi1 0.667 0.581 0.335
Bi2 0.333 0.419 0.665
Bi3 0.670 0.087 0.339
Bi4 0.330 0.913 0.661
Bi5 0.998 0.743 0.997
Bi6 0.002 0.257 0.003
Nd1 0.500 0.000 0.000

Calculated values
The density of states at the Fermi level is 2.01 states/eV per cell. The magnetic moment is 0.00 μB per formula unit. The formation energy comes out at -977.0 kJ/mol of formula units. Its space group is No. 12.

---

[4]
First-principles (PBE-GGA) data for a geometry-optimized BaRu2Pt structure, as listed in Alexandria via LeMat-Bulk.

a = 5.581 Å, b = 5.581 Å, c = 5.581 Å
α = 142.20°, β = 121.71°, γ = 71.59°
Site moments in Bohr magnetons follow the coordinates.
Atoms (fractional coordinates):
Pt1 0.200 0.700 0.500  0.09
Ru1 0.813 0.313 0.500  0.55
Ru2 0.987 0.987 0.000  0.53
Ba1 0.501 0.501 0.000  0.00

Calculated values
The density of states at the Fermi level is 6.17 states/eV per cell. The magnetic moment is 1.24 μB per formula unit. The formation energy comes out at 269.7 kJ/mol of formula units. Its space group is No. 44.

---

| no. | DFT total energy (hartree per atom) |
| --- | --- |
| 1 | -0.0953 |
| 2 | -0.2024 |
| 3 | -0.1866 |
| 4 | -0.2179 |